## Cd2GaPd (PBE-GGA)

Data for a relaxed Cd2GaPd crystal.

## Properties
E_tot = -10.86 eV for the cell shown
Density of states at the Fermi level = 0.265 states/eV/atom
ΔE_f = -0.201 eV/atom

Cell: 3.576 3.576 5.843 Å, 90.00 90.00 90.00°
Space group P4/mmm (No. 123)
Unique sites:
Cd 0.000 0.000 0.241 [2 per cell]
Ga 0.500 0.500 0.500 [1 per cell]
Pd 0.500 0.500 0.000 [1 per cell]